[1]
Entry from Alexandria: a geometry-optimized InHg2Cl structure (PBE-GGA).

Its calculated density is 7.3 Mg/m³. The crystal system is tetragonal. Its energy above the lowest structure with this stoichiometry is 0.0344 eV/atom. Its volume is 31.5 Å³/atom. The total magnetization comes out at 0.000 μB per cell. The total energy is -6.631 eV/cell.

It has space group P4mm (No. 99), with a = 3.8183 Å, b = 3.8183 Å, c = 8.6374 Å, α = 90.00°, β = 90.00° and γ = 90.00°. The asymmetric unit holds In at (0.0000, 0.0000, 0.0000), Hg at (0.0000, 0.0000, 0.4738), Hg at (0.5000, 0.5000, 0.7159) and Cl at (0.5000, 0.5000, 0.1562).

=====

[2]
Entry from Alexandria: a geometry-optimized Tc2IrSe structure (PBE-GGA).

Its calculated density is 12.5 Mg/m³. The crystal system is orthorhombic. Its volume is 15.5 Å³/atom. The total magnetization comes out at 0.000 μB per cell. The total energy is -31.892 eV/cell.

It has space group Pmm2 (No. 25), with a = 2.8661 Å, b = 3.7896 Å, c = 5.7236 Å, α = 90.00°, β = 90.00° and γ = 90.00°. The asymmetric unit holds Tc at (0.0000, 0.0000, 0.0000), Tc at (0.5000, 0.5000, 0.2336), Ir at (0.0000, 0.0000, 0.4620) and Se at (0.5000, 0.5000, 0.7889).

=====

[3]
Entry from Alexandria: a geometry-optimized Li3GeAs structure (PBE-GGA).

Its calculated density is 2.7 Mg/m³. The value obtained for the formation energy is -0.031 eV per atom. The crystal system is cubic. Its energy above the lowest structure with this stoichiometry is 0.2924 eV/atom. Its volume is 21.0 Å³/atom. The total magnetization comes out at 0.000 μB per cell. The total energy is -15.164 eV/cell.

It has space group Pm-3m (No. 221), with a = 4.7145 Å, b = 4.7145 Å, c = 4.7145 Å, α = 90.00°, β = 90.00° and γ = 90.00°. The asymmetric unit holds Li at (0.0000, 0.0000, 0.5000), Ge at (0.5000, 0.5000, 0.5000) and As at (0.0000, 0.0000, 0.0000).

=====

[4]
Entry from Alexandria: a geometry-optimized PrMgInNi structure (PBE-GGA).

Its calculated density is 6.3 Mg/m³. The value obtained for the formation energy is -0.195 eV per atom. The crystal system is cubic. Its volume is 22.3 Å³/atom. The total magnetization comes out at 0.000 μB per cell. The total energy is -62.697 eV/cell.

It has space group F-43m (No. 216), with a = 7.0900 Å, b = 7.0900 Å, c = 7.0900 Å, α = 90.00°, β = 90.00° and γ = 90.00°. The asymmetric unit holds Pr at (0.0000, 0.0000, 0.0000), Mg at (0.0000, 0.0000, 0.5000), In at (0.2500, 0.2500, 0.7500) and Ni at (0.2500, 0.2500, 0.2500).